No. 1
Entry from Alexandria via LeMat-Bulk: a relaxed Li2HfInPd crystal (GGA-PBEsol).

Calculated values
ΔE_f = 0.7224 eV/atom

Cell lengths 4.527, 4.527, 5.359 Å; angles 90.00, 90.00, 90.00 degrees
Space group P4/mmm (No. 123)
Inequivalent atoms, fractional coordinates:
Li (0.000, 0.500, 0.000) (multiplicity 2)
Hf (0.000, 0.000, 0.500) (multiplicity 1)
In (0.000, 0.000, 0.000) (multiplicity 1)
Pd (0.500, 0.500, 0.500) (multiplicity 1)

***

No. 2
Entry from Alexandria via LeMat-Bulk: a relaxed Al13Cu3S24 crystal (GGA-PBEsol).

Calculated values
E_form (uncorrected) = -3247 kJ/mol of formula units

Cell lengths 12.024, 7.014, 16.906 Å; angles 90.00, 90.66, 90.00 degrees
Space group Cm (No. 8)
Inequivalent atoms, fractional coordinates:
Al (0.000, 0.000, 0.000) (multiplicity 2)
Al (0.004, 0.500, 0.109) (multiplicity 2)
Al (0.010, 0.500, 0.504) (multiplicity 2)
Al (0.092, 0.244, 0.324) (multiplicity 4)
Al (0.174, 0.000, 0.787) (multiplicity 2)
Al (0.253, 0.250, 0.001) (multiplicity 4)
Al (0.327, 0.500, 0.832) (multiplicity 2)
Al (0.334, 0.000, 0.323) (multiplicity 2)
Al (0.345, 0.500, 0.455) (multiplicity 2)
Al (0.414, 0.249, 0.662) (multiplicity 4)
Cu (0.163, 0.000, 0.540) (multiplicity 2)
Cu (0.338, 0.500, 0.210) (multiplicity 2)
Cu (0.499, 0.000, 0.871) (multiplicity 2)
S (0.006, 0.500, 0.250) (multiplicity 2)
S (0.014, 0.000, 0.247) (multiplicity 2)
S (0.078, 0.258, 0.585) (multiplicity 4)
S (0.092, 0.230, 0.081) (multiplicity 4)
S (0.163, 0.500, 0.410) (multiplicity 2)
S (0.168, 0.000, 0.922) (multiplicity 2)
S (0.173, 0.000, 0.405) (multiplicity 2)
S (0.173, 0.500, 0.920) (multiplicity 2)
S (0.250, 0.270, 0.742) (multiplicity 4)
S (0.251, 0.237, 0.246) (multiplicity 4)
S (0.324, 0.000, 0.081) (multiplicity 2)
S (0.330, 0.500, 0.586) (multiplicity 2)
S (0.336, 0.500, 0.076) (multiplicity 2)
S (0.343, 0.000, 0.578) (multiplicity 2)
S (0.412, 0.266, 0.917) (multiplicity 4)
S (0.430, 0.230, 0.409) (multiplicity 4)
S (0.487, 0.000, 0.742) (multiplicity 2)
S (0.488, 0.500, 0.746) (multiplicity 2)

***

No. 3
Entry from Alexandria via LeMat-Bulk: a relaxed Y2As2I crystal (GGA-PBEsol).

Calculated values
E_form (uncorrected) = -407 kJ/mol of formula units

Cell lengths 4.174, 4.174, 14.768 Å; angles 90.00, 90.00, 90.00 degrees
Space group I4/mmm (No. 139)
Inequivalent atoms, fractional coordinates:
Y (0.000, 0.000, 0.121) (multiplicity 4)
As (0.000, 0.500, 0.250) (multiplicity 4)
I (0.000, 0.000, 0.500) (multiplicity 2)

***

No. 4
Entry from Alexandria via LeMat-Bulk: a relaxed CsNbPS2 crystal (GGA-PBEsol).

Calculated values
E_form (uncorrected) = -294 kJ/mol of formula units

Cell lengths 4.898, 4.898, 4.912 Å; angles 90.00, 90.00, 90.00 degrees
Space group P4/mmm (No. 123)
Inequivalent atoms, fractional coordinates:
Cs (0.000, 0.000, 0.000) (multiplicity 1)
Nb (0.500, 0.500, 0.500) (multiplicity 1)
P (0.500, 0.500, 0.000) (multiplicity 1)
S (0.000, 0.500, 0.500) (multiplicity 2)

***

No. 5
Entry from Alexandria via LeMat-Bulk: a relaxed Ba5V3ClO12 crystal (GGA-PBEsol).

Calculated values
E_form (uncorrected) = -5822 kJ/mol of formula units

Cell lengths 10.5199, 10.5199, 7.7306 Å; angles 90.00, 90.00, 120.00 degrees
Space group P6_3/m (No. 176)
Inequivalent atoms, fractional coordinates:
Ba (0.0102, 0.2556, 0.2500) (multiplicity 6)
Ba (0.3333, 0.6667, 0.0010) (multiplicity 4)
V (0.0353, 0.4050, 0.7500) (multiplicity 6)
Cl (0.0000, 0.0000, 0.0000) (multiplicity 2)
O (0.0978, 0.3552, 0.5733) (multiplicity 12)
O (0.1240, 0.5940, 0.7500) (multiplicity 6)
O (0.1533, 0.6752, 0.2500) (multiplicity 6)

***

No. 6
Entry from Alexandria via LeMat-Bulk: a relaxed LiGa5O8 crystal (GGA-PBEsol).

Calculated values
E_form (uncorrected) = -2664 kJ/mol of formula units

Cell lengths 8.219, 8.219, 8.219 Å; angles 90.00, 90.00, 90.00 degrees
Space group P4_332 (No. 212)
Inequivalent atoms, fractional coordinates:
Li (0.125, 0.125, 0.125) (multiplicity 4)
Ga (0.004, 0.504, 0.996) (multiplicity 8)
Ga (0.115, 0.375, 0.365) (multiplicity 12)
O (0.113, 0.387, 0.613) (multiplicity 8)
O (0.116, 0.120, 0.874) (multiplicity 24)